[1]
PuScZn | PBE | optimized geometry

Geometry as extended XYZ:
```
3
Lattice="-0.121 -1.559 -2.896 3.280 -0.276 0.011 -2.045 -4.495 4.376" Properties=species:S:1:pos:R:3 pbc="T T T"
Sc 1.443 -2.502 -0.583
Zn -0.010 -0.114 0.062
Pu -0.320 -3.714 2.013
```

Values from the calculation:
**V**: 67 Å³/cell
**Space group**: No. 107
**E above lowest polymorph**: 31 meV per atom

[2]
PuScZn17 | PBE | optimized geometry

Geometry as extended XYZ:
```
19
Lattice="-3.001 -5.126 3.247 5.539 -3.757 1.014 1.319 2.068 6.310" Properties=species:S:1:pos:R:3 pbc="T T T"
Pu 2.565 -4.532 7.030
Sc 1.279 -2.261 3.506
Zn 0.044 -0.093 5.379
Zn -0.443 -4.694 2.590
Zn 4.254 -2.025 2.598
Zn 2.980 -4.146 1.695
Zn 2.562 0.310 4.720
Zn -1.687 -2.977 4.151
Zn 4.088 -4.253 4.225
Zn 2.009 -1.383 6.834
Zn -0.119 -4.927 5.325
Zn -0.152 -2.599 6.319
Zn 1.854 -5.368 3.801
Zn 3.907 -1.948 5.257
Zn 1.120 -4.938 10.018
Zn 3.190 -7.794 7.421
Zn 5.308 -4.266 8.923
Zn 3.481 -6.153 9.542
Zn 0.399 -0.706 1.094
```

Values from the calculation:
**V**: 303 Å³/cell
**Space group**: No. 160
**Uncorrected energy**: -2.3791 eV per atom

[3]
PuScZn2 | PBE | optimized geometry

Geometry as extended XYZ:
```
4
Lattice="-1.850 1.943 1.848 0.938 -1.634 2.657 5.895 4.791 0.866" Properties=species:S:1:pos:R:3 pbc="T T T"
Sc -0.456 0.154 2.253
Zn 4.580 3.722 0.672
Zn 1.315 1.069 0.193
Pu 2.491 2.550 2.685
```

Values from the calculation:
**V**: 81 Å³/cell
**Space group**: No. 123
**E above lowest polymorph**: 0 meV per atom

[4]
PuScZn4 | PBE | optimized geometry

Geometry as extended XYZ:
```
6
Lattice="-1.028 2.320 -1.672 -0.519 -2.790 -3.551 -7.439 -1.604 2.348" Properties=species:S:1:pos:R:3 pbc="T T T"
Pu -0.514 1.160 -0.836
Sc -4.493 -1.037 -1.437
Zn -4.888 -1.054 1.543
Zn -6.362 -2.711 0.151
Zn -3.579 1.769 -0.867
Zn -2.624 0.636 -3.025
```

Values from the calculation:
**V**: 110 Å³/cell
**Space group**: No. 47
**E above lowest polymorph**: 0 meV per atom

[5]
PuSc4Zn5 | PBE | optimized geometry

Geometry as extended XYZ:
```
10
Lattice="2.978 0.000 0.000 0.000 2.978 0.000 0.000 0.000 23.859" Properties=species:S:1:pos:R:3 pbc="T T T"
Pu 0.000 0.000 0.000
Sc 0.000 0.000 7.439
Sc 0.000 0.000 4.275
Sc 0.000 0.000 19.584
Sc 0.000 0.000 16.421
Zn 1.489 1.489 21.529
Zn 1.489 1.489 14.443
Zn 1.489 1.489 11.930
Zn 1.489 1.489 9.416
Zn 1.489 1.489 2.330
```

Values from the calculation:
**V**: 212 Å³/cell
**Space group**: No. 123
**Uncorrected energy**: -4.5193 eV per atom

[6]
PuSc2Zn | PBE | optimized geometry

Geometry as extended XYZ:
```
4
Lattice="-2.243 -2.237 -0.715 2.240 -2.335 0.276 -1.800 -0.773 8.064" Properties=species:S:1:pos:R:3 pbc="T T T"
Sc -1.415 -0.607 6.336
Sc -0.386 -0.166 1.728
Zn -0.002 -2.286 -0.219
Pu -0.902 -2.672 3.813
```

Values from the calculation:
**V**: 88 Å³/cell
**Space group**: No. 123
**E above lowest polymorph**: 0 meV per atom

[7]
PuScZn4 | PBE | optimized geometry

Geometry as extended XYZ:
```
6
Lattice="-2.810 -0.622 4.523 1.807 -3.262 3.851 1.839 2.046 4.602" Properties=species:S:1:pos:R:3 pbc="T T T"
Sc 0.000 0.000 0.000
Zn -0.400 -2.177 5.807
Zn -0.384 0.487 6.183
Zn 0.523 -1.150 8.116
Zn 1.933 -0.838 5.846
Pu 0.209 -0.460 3.244
```

Values from the calculation:
**V**: 109 Å³/cell
**Space group**: No. 216
**E above lowest polymorph**: 34 meV per atom

[8]
PuScZn2 | PBE | optimized geometry

Geometry as extended XYZ:
```
4
Lattice="-2.855 -2.119 -3.372 0.104 -4.863 -0.593 -3.831 -2.721 1.392" Properties=species:S:1:pos:R:3 pbc="T T T"
Sc 0.000 0.000 0.000
Zn -1.645 -2.426 -0.643
Zn -4.936 -7.277 -1.930
Pu -3.291 -4.852 -1.286
```

Values from the calculation:
**V**: 83 Å³/cell
**Space group**: No. 225
**E above lowest polymorph**: 32 meV per atom

Repeat the third record exactly.
PuScZn2 | PBE | optimized geometry

Geometry as extended XYZ:
```
4
Lattice="-1.850 1.943 1.848 0.938 -1.634 2.657 5.895 4.791 0.866" Properties=species:S:1:pos:R:3 pbc="T T T"
Sc -0.456 0.154 2.253
Zn 4.580 3.722 0.672
Zn 1.315 1.069 0.193
Pu 2.491 2.550 2.685
```

Values from the calculation:
**V**: 81 Å³/cell
**Space group**: No. 123
**E above lowest polymorph**: 0 meV per atom